# NiGe2I PBE-GGA relaxed
# VASP energy: -3.367 eV/atom
# Total magnetization: 0.0 Bohr magnetons per cell
# Formation energy (no corrections): 3.098 eV/f.u.
# Energy above the most stable polymorph in this dataset: 600.3 meV per atom
# Crystal system: cubic
data_NiGe2I
_chemical_formula_sum 'Ni4 Ge8 I4'
_cell_length_a 6.914
_cell_length_b 6.914
_cell_length_c 6.914
_cell_angle_alpha 90.00
_cell_angle_beta 90.00
_cell_angle_gamma 90.00
_symmetry_space_group_name_H-M 'F m -3 m'
_symmetry_Int_Tables_number 225
_symmetry_space_group_name_Hall '-F 4 2 3'
loop_
_atom_site_label
_atom_site_type_symbol
_atom_site_fract_x
_atom_site_fract_y
_atom_site_fract_z
Ni1 Ni 0.000 0.000 0.000
Ge1 Ge 0.250 0.250 0.250
I1 I 0.000 0.000 0.500